a | Entry from Alexandria: crystalline Cu2PtBr at its relaxed geometry (PBE-GGA).

Lattice parameters (Å, degrees): 6.305 4.530 3.171 90.10 59.64 121.27
Sites, in units of the cell vectors:
Pt: 0.000 0.500 0.500
Br: 0.500 0.500 0.000
Cu: 0.000 0.000 0.000
Cu: 0.500 0.000 0.500

b | Entry from Alexandria: crystalline Cu2PtBr at its relaxed geometry (PBE-GGA).

Lattice parameters (Å, degrees): 7.060 7.060 5.669 51.49 51.49 90.00
Sites, in units of the cell vectors:
Pt: 0.750 0.250 0.500
Pt: 0.000 0.000 0.000
Cu: 0.124 0.625 0.250
Cu: 0.626 0.125 0.250
Cu: 0.375 0.374 0.750
Cu: 0.875 0.876 0.750
Br: 0.500 0.500 0.000
Br: 0.250 0.750 0.500

So which one wins? Going from most stable to least: a, b.

a | Entry from Alexandria: crystalline Cu2PtBr at its relaxed geometry (PBE-GGA).

Lattice parameters (Å, degrees): 3.276 3.276 7.434 76.57 76.57 61.38
Sites, in units of the cell vectors:
Cu: 0.496 0.496 0.510
Cu: 0.004 0.004 0.990
Pt: 0.750 0.750 0.750
Br: 0.250 0.250 0.250

b | Entry from Alexandria: crystalline Cu2PtBr at its relaxed geometry (PBE-GGA).

Lattice parameters (Å, degrees): 3.206 3.206 6.406 90.00 90.00 90.00
Sites, in units of the cell vectors:
Cu: 0.000 0.000 0.032
Cu: 0.500 0.500 0.239
Pt: 0.000 0.000 0.436
Br: 0.500 0.500 0.793

So which one wins? Going from most stable to least: a, b.

a | Entry from Alexandria: crystalline Cu2PtBr at its relaxed geometry (PBE-GGA).

Lattice parameters (Å, degrees): 5.041 5.041 5.041 135.12 135.12 65.35
Sites, in units of the cell vectors:
Pt: 0.500 0.500 0.000
Br: 0.750 0.250 0.500
Cu: 0.250 0.750 0.500
Cu: 0.000 0.000 0.000

b | Entry from Alexandria: crystalline Cu2PtBr at its relaxed geometry (PBE-GGA).

Lattice parameters (Å, degrees): 4.482 4.482 4.482 60.00 60.00 60.00
Sites, in units of the cell vectors:
Cu: 0.750 0.750 0.750
Cu: 0.250 0.250 0.250
Pt: 0.500 0.500 0.500
Br: 0.000 0.000 0.000

So which one wins? Going from most stable to least: a, b.

a | Entry from Alexandria: crystalline Cu2PtBr at its relaxed geometry (PBE-GGA).

Lattice parameters (Å, degrees): 4.357 4.357 6.341 79.90 79.90 40.94
Sites, in units of the cell vectors:
Pt: 0.525 0.525 0.589
Br: 0.143 0.143 0.244
Cu: 0.786 0.786 0.756
Cu: 0.046 0.046 0.912

b | Entry from Alexandria: crystalline Cu2PtBr at its relaxed geometry (PBE-GGA).

Lattice parameters (Å, degrees): 4.421 4.427 3.189 90.00 90.00 90.00
Sites, in units of the cell vectors:
Cu: 0.000 0.000 0.000
Cu: 0.500 0.500 0.000
Pt: 0.500 0.000 0.500
Br: 0.000 0.500 0.500

So which one wins? Going from most stable to least: a, b.

a | Entry from Alexandria: crystalline Cu2PtBr at its relaxed geometry (PBE-GGA).

Lattice parameters (Å, degrees): 2.801 2.801 9.717 90.00 90.00 117.96
Sites, in units of the cell vectors:
Cu: 0.000 0.000 0.027
Cu: 0.500 0.500 0.229
Br: 0.500 0.500 0.796
Pt: 0.000 0.000 0.448

b | Entry from Alexandria: crystalline Cu2PtBr at its relaxed geometry (PBE-GGA).

Lattice parameters (Å, degrees): 4.745 4.745 4.745 129.23 128.92 74.89
Sites, in units of the cell vectors:
Cu: 0.000 0.000 0.000
Cu: 0.500 0.500 0.000
Br: 0.250 0.750 0.500
Pt: 0.750 0.250 0.500

So which one wins? Going from most stable to least: a, b.

a | Entry from Alexandria: crystalline Cu2PtBr at its relaxed geometry (PBE-GGA).

Lattice parameters (Å, degrees): 3.286 3.282 6.055 90.00 90.00 90.00
Sites, in units of the cell vectors:
Cu: 0.000 0.000 0.462
Cu: 0.000 0.000 0.038
Pt: 0.500 0.500 0.250
Br: 0.500 0.500 0.750

b | Entry from Alexandria: crystalline Cu2PtBr at its relaxed geometry (PBE-GGA).

Lattice parameters (Å, degrees): 4.474 4.474 4.474 60.00 60.00 60.00
Sites, in units of the cell vectors:
Br: 0.500 0.500 0.500
Cu: 0.000 0.000 0.000
Cu: 0.250 0.250 0.250
Pt: 0.750 0.750 0.750

c | Entry from Alexandria: crystalline Cu2PtBr at its relaxed geometry (PBE-GGA).

Lattice parameters (Å, degrees): 4.051 2.834 6.637 90.22 90.00 90.00
Sites, in units of the cell vectors:
Pt: 0.000 0.502 0.367
Cu: 0.500 0.001 0.286
Cu: 0.000 0.999 0.036
Br: 0.500 0.997 0.811

So which one wins? Going from most stable to least: a, c, b.

a | Entry from Alexandria: crystalline CuPtBr6 at its relaxed geometry (PBE-GGA).

Lattice parameters (Å, degrees): 6.158 7.196 7.433 53.25 64.13 62.71
Sites, in units of the cell vectors:
Br: 0.903 0.594 0.252
Br: 0.762 0.102 0.733
Br: 0.097 0.406 0.748
Br: 0.238 0.898 0.267
Br: 0.621 0.192 0.208
Br: 0.379 0.808 0.792
Pt: 0.000 0.000 0.000
Cu: 0.500 0.500 0.500

b | Entry from Alexandria: crystalline CuPtBr6 at its relaxed geometry (PBE-GGA).

Lattice parameters (Å, degrees): 8.328 6.648 6.648 101.94 113.99 113.99
Sites, in units of the cell vectors:
Br: 0.272 0.052 0.378
Br: 0.728 0.622 0.948
Br: 0.728 0.948 0.622
Br: 0.751 0.429 0.429
Br: 0.272 0.378 0.052
Br: 0.249 0.571 0.571
Pt: 0.500 0.500 0.500
Cu: 0.000 0.000 0.000

So which one wins? Going from most stable to least: b, a.

a | Entry from Alexandria: crystalline PuCu2Br6 at its relaxed geometry (PBE-GGA).

Lattice parameters (Å, degrees): 6.648 8.044 12.769 90.00 96.94 90.00
Sites, in units of the cell vectors:
Br: 0.733 0.255 0.429
Br: 0.239 0.737 0.889
Br: 0.707 0.463 0.823
Br: 0.739 0.763 0.389
Br: 0.767 0.755 0.071
Br: 0.233 0.245 0.929
Br: 0.261 0.237 0.611
Br: 0.293 0.537 0.177
Br: 0.267 0.745 0.571
Br: 0.793 0.963 0.677
Br: 0.207 0.037 0.323
Br: 0.761 0.263 0.111
Cu: 0.570 0.134 0.565
Cu: 0.430 0.866 0.435
Cu: 0.070 0.366 0.065
Cu: 0.930 0.634 0.935
Pu: 0.000 0.000 0.500
Pu: 0.500 0.500 0.000

b | Entry from Alexandria: crystalline PuCu2Br6 at its relaxed geometry (PBE-GGA).

Lattice parameters (Å, degrees): 7.068 9.526 9.526 78.91 84.64 84.64
Sites, in units of the cell vectors:
Br: 0.871 0.866 0.377
Br: 0.879 0.536 0.723
Br: 0.893 0.180 0.037
Br: 0.129 0.134 0.623
Br: 0.371 0.377 0.866
Br: 0.379 0.723 0.536
Br: 0.621 0.277 0.464
Br: 0.629 0.623 0.134
Br: 0.121 0.464 0.277
Br: 0.607 0.963 0.820
Br: 0.393 0.037 0.180
Br: 0.107 0.820 0.963
Pu: 0.750 0.900 0.100
Pu: 0.250 0.100 0.900
Cu: 0.789 0.447 0.307
Cu: 0.211 0.553 0.693
Cu: 0.711 0.693 0.553
Cu: 0.289 0.307 0.447

So which one wins? Going from most stable to least: a, b.